[1]
The following is a DFT calculation (PBE) of a relaxed Np2Co3CuP4 crystal.

Formation energy   -0.67 eV per atom

a b c (Å): 3.9687 3.9687 9.0415
angles (deg): 90.00 90.00 90.00
Closest atoms and distances in Å follow each position.
Space group P-4m2 (No. 115)
Inequivalent atoms, fractional coordinates:
Np 0.0000 0.5000 0.2448 x2  8 P 2.97-2.99, 7 Co 3.04-3.21, 2 Cu 3.04
Co 0.0000 0.5000 0.8900 x2  5 P 2.22-2.24
Co 0.5000 0.5000 0.5000 x1  4 P 2.37
Cu 0.0000 0.0000 0.5000 x1  4 P 2.37
P 0.0000 0.0000 0.0000 x1  4 Co 2.22
P 0.0000 0.5000 0.6423 x2  3 Co 2.24-2.37, 2 Cu 2.37
P 0.5000 0.5000 0.0000 x1  4 Co 2.22

[2]
The following is a DFT calculation (PBE) of a relaxed PrNdHo4 crystal.

Formation energy   0.02 eV per atom
Polymorph energy (0 for the lowest one)   14 meV/atom

a b c (Å): 11.3463 5.0458 7.1787
angles (deg): 90.00 108.53 90.00
Closest atoms and distances in Å follow each position.
Space group C2/m (No. 12)
Inequivalent atoms, fractional coordinates:
Pr 0.0000 0.0000 0.0000 x2  10 Ho 3.57-3.59, 2 Nd 3.59
Nd 0.0000 0.0000 0.5000 x2  10 Ho 3.57-3.59, 2 Pr 3.59
Ho 0.1682 0.5000 0.3344 x4  7 Ho 3.56-3.62, 3 Nd 3.57-3.59, 2 Pr 3.59
Ho 0.1679 0.5000 0.8336 x4  7 Ho 3.56-3.62, 3 Pr 3.57-3.59, 2 Nd 3.58

[3]
The following is a DFT calculation (PBE) of a relaxed Si3PO crystal.

Formation energy without anion corrections   1.18 eV/atom
Polymorph energy (0 for the lowest one)   753 meV/atom

a b c (Å): 4.4945 4.4945 4.4945
angles (deg): 90.00 90.00 90.00
Closest atoms and distances in Å follow each position.
Space group Pm-3m (No. 221)
Inequivalent atoms, fractional coordinates:
Si 0.0000 0.0000 0.5000 x3  2 P 2.25
P 0.0000 0.0000 0.0000 x1  6 Si 2.25
O 0.5000 0.5000 0.5000 x1  12 Si 3.18

[4]
The following is a DFT calculation (PBE) of a relaxed ZnP2Rh crystal.

Formation energy   -0.12 eV per atom

a b c (Å): 6.0311 3.4967 6.3456
angles (deg): 90.00 108.21 90.00
Closest atoms and distances in Å follow each position.
Space group C2/m (No. 12)
Inequivalent atoms, fractional coordinates:
Zn 0.0000 0.0000 0.0000 x2  6 P 2.61-2.63
P 0.2385 0.0000 0.7212 x4  3 Rh 2.42, 3 Zn 2.61-2.63
Rh 0.0000 0.5000 0.5000 x2  6 P 2.42

[5]
The following is a DFT calculation (PBE) of a relaxed AgHgS5 crystal.

Formation energy without anion corrections   0.07 eV/atom

a b c (Å): 6.9842 10.1557 11.3417
angles (deg): 90.00 90.74 90.00
Closest atoms and distances in Å follow each position.
Space group C2/c (No. 15)
Inequivalent atoms, fractional coordinates:
Ag 0.2500 0.2500 0.0000 x4  4 S 2.56-2.58
Hg 0.0000 0.0209 0.2500 x4  2 S 2.49
S 0.0000 0.4371 0.2500 x4  2 S 2.05
S 0.0245 0.0897 0.4602 x8  1 S 2.06
S 0.2314 0.3190 0.2188 x8  1 S 2.05

[6]
The following is a DFT calculation (PBE) of a relaxed Ta2MnNb5 crystal.

Formation energy   -0.02 eV per atom

a b c (Å): 6.5334 13.0954 3.2432
angles (deg): 90.00 90.00 90.00
Closest atoms and distances in Å follow each position.
Space group Pbam (No. 55)
Inequivalent atoms, fractional coordinates:
Ta 0.2275 0.1178 0.0000 x4  2 Mn 2.69, 6 Nb 2.86-2.90
Mn 0.0000 0.0000 0.5000 x2  4 Ta 2.69, 4 Nb 2.81
Nb 0.0000 0.5000 0.5000 x2  4 Nb 2.80, 4 Ta 2.86
Nb 0.0155 0.7493 0.5000 x4  4 Nb 2.80-2.89, 4 Ta 2.86-2.90
Nb 0.2480 0.3775 0.0000 x4  6 Nb 2.80-2.89, 2 Mn 2.81, 1 Ta 3.13